Arrangement w

{"formula": "LiCrOs", "functional": "PBE", "state": "relaxed", "crystal_system": "monoclinic", "lattice_angstrom": [[2.651, 0.000, 0.000], [0.000, 4.046, 0.000], [-0.078, 0.000, 7.504]], "species": ["Li", "Li", "Cr", "Cr", "Os", "Os"], "frac_coords": [[0.153, 0.250, 0.071], [0.847, 0.750, 0.929], [0.090, 0.750, 0.593], [0.910, 0.250, 0.407], [0.472, 0.250, 0.711], [0.528, 0.750, 0.289]]}

Arrangement x

{"formula": "LiCrOs", "functional": "PBE", "state": "relaxed", "crystal_system": "orthorhombic", "lattice_angstrom": [[-1.274, 2.038, 3.632], [1.274, -2.038, 3.632], [1.274, 2.038, -3.632]], "species": ["Li", "Cr", "Os"], "frac_coords": [[0.000, 0.000, 0.000], [0.669, 0.669, 0.000], [0.337, 0.337, 0.000]]}

Name the least stable of them. arrangement x.

Arrangement w

{"formula": "LiCrOs", "functional": "PBE", "state": "relaxed", "crystal_system": "tetragonal", "lattice_angstrom": [[-1.501, 1.501, 4.220], [1.501, -1.501, 4.220], [1.501, 1.501, -4.220]], "species": ["Li", "Cr", "Os"], "frac_coords": [[0.000, 0.000, 0.000], [0.676, 0.676, 0.000], [0.324, 0.324, 0.000]]}

Arrangement x

{"formula": "LiCrOs", "functional": "PBE", "state": "relaxed", "crystal_system": "orthorhombic", "lattice_angstrom": [[0.000, 2.180, 6.749], [1.402, 0.000, 6.749], [1.402, 2.180, 0.000]], "species": ["Li", "Cr", "Os"], "frac_coords": [[0.000, 0.000, 0.000], [0.325, 0.325, 0.675], [0.672, 0.672, 0.328]]}

Name the least stable of them. arrangement x.

Arrangement w

{"formula": "LiCrOs", "functional": "PBE", "state": "relaxed", "crystal_system": "cubic", "lattice_angstrom": [[0.000, 2.808, 2.808], [2.808, 0.000, 2.808], [2.808, 2.808, 0.000]], "species": ["Li", "Cr", "Os"], "frac_coords": [[0.000, 0.000, 0.000], [0.250, 0.250, 0.250], [0.500, 0.500, 0.500]]}

Arrangement x

{"formula": "LiCrOs", "functional": "PBE", "state": "relaxed", "crystal_system": "trigonal", "lattice_angstrom": [[4.137, 0.000, 0.000], [-2.069, 3.583, 0.000], [0.000, 0.000, 2.539]], "species": ["Li", "Cr", "Os"], "frac_coords": [[0.000, 0.000, 0.000], [0.333, 0.667, 0.663], [0.667, 0.333, 0.389]]}

Name the least stable of them. arrangement w.

Arrangement w

{"formula": "LiCrP2", "functional": "PBE", "state": "relaxed", "crystal_system": "tetragonal", "lattice_angstrom": [[-1.755, 1.755, 4.201], [1.755, -1.755, 4.201], [1.755, 1.755, -4.201]], "species": ["Li", "Cr", "P", "P"], "frac_coords": [[0.000, 0.000, 0.000], [0.750, 0.250, 0.500], [0.250, 0.750, 0.500], [0.500, 0.500, 0.000]]}

Arrangement x

{"formula": "LiCrP2", "functional": "PBE", "state": "relaxed", "crystal_system": "cubic", "lattice_angstrom": [[0.000, 2.994, 2.994], [2.994, 0.000, 2.994], [2.994, 2.994, 0.000]], "species": ["Li", "Cr", "P", "P"], "frac_coords": [[0.000, 0.000, 0.000], [0.250, 0.250, 0.250], [0.500, 0.500, 0.500], [0.750, 0.750, 0.750]]}

Name the least stable of them. arrangement x.

Arrangement w

{"formula": "LiCrP2", "functional": "PBE", "state": "relaxed", "crystal_system": "tetragonal", "lattice_angstrom": [[3.231, 0.000, 0.000], [0.000, 3.231, 0.000], [0.000, 0.000, 4.641]], "species": ["Li", "Cr", "P", "P"], "frac_coords": [[0.000, 0.000, 0.000], [0.500, 0.500, 0.698], [0.000, 0.000, 0.505], [0.500, 0.500, 0.191]]}

Arrangement x

{"formula": "LiCrP2", "functional": "PBE", "state": "relaxed", "crystal_system": "trigonal", "lattice_angstrom": [[1.502, 0.867, 7.174], [-1.502, 0.867, 7.174], [0.000, -1.734, 7.174]], "species": ["Li", "Cr", "P", "P"], "frac_coords": [[0.000, 0.000, 0.000], [0.500, 0.500, 0.500], [0.239, 0.239, 0.239], [0.761, 0.761, 0.761]]}

Name the least stable of them. arrangement w.

Arrangement w

{"formula": "LiCrPS2", "functional": "PBE", "state": "relaxed", "crystal_system": "tetragonal", "lattice_angstrom": [[4.573, 0.000, 0.000], [0.000, 4.573, 0.000], [0.000, 0.000, 4.437]], "species": ["Li", "Cr", "P", "S", "S"], "frac_coords": [[0.000, 0.000, 0.000], [0.500, 0.500, 0.500], [0.500, 0.500, 0.000], [0.000, 0.500, 0.500], [0.500, 0.000, 0.500]]}

Arrangement x

{"formula": "LiCrPS2", "functional": "PBE", "state": "relaxed", "crystal_system": "tetragonal", "lattice_angstrom": [[4.507, 0.000, 0.000], [0.000, 4.507, 0.000], [0.000, 0.000, 4.155]], "species": ["Li", "Cr", "P", "S", "S"], "frac_coords": [[0.000, 0.000, 0.000], [0.500, 0.500, 0.500], [0.000, 0.000, 0.500], [0.000, 0.500, 0.000], [0.500, 0.000, 0.000]]}

Name the least stable of them. arrangement x.

Arrangement w

{"formula": "LiCr3Pb", "functional": "PBE", "state": "relaxed", "crystal_system": "cubic", "lattice_angstrom": [[4.380, 0.000, 0.000], [0.000, 4.380, 0.000], [0.000, 0.000, 4.380]], "species": ["Li", "Cr", "Cr", "Cr", "Pb"], "frac_coords": [[0.000, 0.000, 0.000], [0.000, 0.000, 0.500], [0.000, 0.500, 0.000], [0.500, 0.000, 0.000], [0.500, 0.500, 0.500]]}

Arrangement x

{"formula": "LiCr3Pb", "functional": "PBE", "state": "relaxed", "crystal_system": "cubic", "lattice_angstrom": [[5.311, 0.000, 0.000], [0.000, 5.311, 0.000], [0.000, 0.000, 5.311]], "species": ["Li", "Cr", "Cr", "Cr", "Pb"], "frac_coords": [[0.000, 0.000, 0.000], [0.000, 0.500, 0.500], [0.500, 0.000, 0.500], [0.500, 0.500, 0.000], [0.500, 0.500, 0.500]]}

Name the least stable of them. arrangement x.

Arrangement w

{"formula": "Li2CrPd2", "functional": "PBE", "state": "relaxed", "crystal_system": "tetragonal", "lattice_angstrom": [[6.938, 0.000, 0.000], [0.000, 6.938, 0.000], [0.000, 0.000, 2.709]], "species": ["Li", "Li", "Li", "Li", "Cr", "Cr", "Pd", "Pd", "Pd", "Pd"], "frac_coords": [[0.111, 0.389, 0.000], [0.389, 0.889, 0.000], [0.611, 0.111, 0.000], [0.889, 0.611, 0.000], [0.000, 0.000, 0.000], [0.500, 0.500, 0.000], [0.191, 0.691, 0.500], [0.309, 0.191, 0.500], [0.691, 0.809, 0.500], [0.809, 0.309, 0.500]]}

Arrangement x

{"formula": "Li2CrPd2", "functional": "PBE", "state": "relaxed", "crystal_system": "tetragonal", "lattice_angstrom": [[7.121, 0.000, 0.000], [0.000, 7.121, 0.000], [0.000, 0.000, 2.694]], "species": ["Li", "Li", "Li", "Li", "Cr", "Cr", "Pd", "Pd", "Pd", "Pd"], "frac_coords": [[0.127, 0.373, 0.000], [0.373, 0.873, 0.000], [0.627, 0.127, 0.000], [0.873, 0.627, 0.000], [0.000, 0.000, 0.500], [0.500, 0.500, 0.500], [0.173, 0.673, 0.500], [0.327, 0.173, 0.500], [0.673, 0.827, 0.500], [0.827, 0.327, 0.500]]}

Name the least stable of them. arrangement x.

Arrangement w

{"formula": "LiCrPd3", "functional": "PBE", "state": "relaxed", "crystal_system": "cubic", "lattice_angstrom": [[4.596, 0.000, 0.000], [0.000, 4.596, 0.000], [0.000, 0.000, 4.596]], "species": ["Li", "Cr", "Pd", "Pd", "Pd"], "frac_coords": [[0.000, 0.000, 0.000], [0.500, 0.500, 0.500], [0.000, 0.500, 0.500], [0.500, 0.000, 0.500], [0.500, 0.500, 0.000]]}

Arrangement x

{"formula": "LiCrPd3", "functional": "PBE", "state": "relaxed", "crystal_system": "triclinic", "lattice_angstrom": [[4.710, 0.000, 0.000], [-0.800, 5.107, 0.000], [-2.189, -2.271, 6.117]], "species": ["Li", "Li", "Cr", "Cr", "Pd", "Pd", "Pd", "Pd", "Pd", "Pd"], "frac_coords": [[0.208, 0.146, 0.450], [0.792, 0.854, 0.550], [0.147, 0.885, 0.015], [0.853, 0.115, 0.985], [0.210, 0.569, 0.262], [0.307, 0.254, 0.862], [0.345, 0.716, 0.700], [0.655, 0.284, 0.300], [0.693, 0.746, 0.138], [0.790, 0.431, 0.738]]}

Name the least stable of them. arrangement w.

Arrangement w

{"formula": "LiCrPd4", "functional": "PBE", "state": "relaxed", "crystal_system": "orthorhombic", "lattice_angstrom": [[0.000, 4.575, 7.230], [2.768, 0.000, 7.230], [2.768, 4.575, 0.000]], "species": ["Li", "Li", "Cr", "Cr", "Pd", "Pd", "Pd", "Pd", "Pd", "Pd", "Pd", "Pd"], "frac_coords": [[0.125, 0.125, 0.125], [0.875, 0.875, 0.875], [0.375, 0.375, 0.375], [0.625, 0.625, 0.625], [0.029, 0.527, 0.222], [0.222, 0.722, 0.029], [0.278, 0.778, 0.473], [0.473, 0.971, 0.278], [0.527, 0.029, 0.722], [0.722, 0.222, 0.527], [0.778, 0.278, 0.971], [0.971, 0.473, 0.778]]}

Arrangement x

{"formula": "LiCrPd4", "functional": "PBE", "state": "relaxed", "crystal_system": "monoclinic", "lattice_angstrom": [[4.497, -2.200, 0.000], [4.497, 2.200, 0.000], [-3.191, 0.000, 4.487]], "species": ["Li", "Cr", "Pd", "Pd", "Pd", "Pd"], "frac_coords": [[0.000, 0.000, 0.000], [0.000, 0.000, 0.500], [0.330, 0.330, 0.468], [0.332, 0.332, 0.970], [0.668, 0.668, 0.030], [0.670, 0.670, 0.532]]}

Name the least stable of them. arrangement w.

Arrangement w

{"formula": "Rb2LiCr", "functional": "PBE", "state": "relaxed", "crystal_system": "cubic", "lattice_angstrom": [[0.000, 4.543, 4.543], [4.543, 0.000, 4.543], [4.543, 4.543, 0.000]], "species": ["Rb", "Rb", "Li", "Cr"], "frac_coords": [[0.250, 0.250, 0.250], [0.750, 0.750, 0.750], [0.000, 0.000, 0.000], [0.500, 0.500, 0.500]]}

Arrangement x

{"formula": "Rb2LiCr", "functional": "PBE", "state": "relaxed", "crystal_system": "tetragonal", "lattice_angstrom": [[-5.098, 5.098, 3.627], [5.098, -5.098, 3.627], [5.098, 5.098, -3.627]], "species": ["Rb", "Rb", "Rb", "Rb", "Li", "Li", "Cr", "Cr"], "frac_coords": [[0.118, 0.625, 0.993], [0.375, 0.368, 0.493], [0.632, 0.125, 0.007], [0.875, 0.882, 0.507], [0.250, 0.750, 0.500], [0.500, 0.500, 0.000], [0.000, 0.000, 0.000], [0.750, 0.250, 0.500]]}

Name the least stable of them. arrangement x.

Arrangement w

{"formula": "Rb2Li2Cr", "functional": "PBE", "state": "relaxed", "crystal_system": "tetragonal", "lattice_angstrom": [[10.643, 0.000, 0.000], [0.000, 10.643, 0.000], [0.000, 0.000, 3.155]], "species": ["Rb", "Rb", "Rb", "Rb", "Li", "Li", "Li", "Li", "Cr", "Cr"], "frac_coords": [[0.202, 0.298, 0.000], [0.298, 0.798, 0.000], [0.702, 0.202, 0.000], [0.798, 0.702, 0.000], [0.091, 0.591, 0.500], [0.409, 0.091, 0.500], [0.591, 0.909, 0.500], [0.909, 0.409, 0.500], [0.000, 0.000, 0.000], [0.500, 0.500, 0.000]]}

Arrangement x

{"formula": "Rb2Li2Cr", "functional": "PBE", "state": "relaxed", "crystal_system": "tetragonal", "lattice_angstrom": [[-2.099, 2.099, 11.859], [2.099, -2.099, 11.859], [2.099, 2.099, -11.859]], "species": ["Rb", "Rb", "Li", "Li", "Cr"], "frac_coords": [[0.104, 0.104, 0.000], [0.896, 0.896, 0.000], [0.250, 0.750, 0.500], [0.750, 0.250, 0.500], [0.500, 0.500, 0.000]]}

Name the least stable of them. arrangement w.

Arrangement w

{"formula": "LiCrRe2", "functional": "PBE", "state": "relaxed", "crystal_system": "monoclinic", "lattice_angstrom": [[2.570, 0.000, 0.000], [0.000, 4.262, 0.000], [-0.828, 0.000, 4.932]], "species": ["Li", "Cr", "Re", "Re"], "frac_coords": [[0.000, 0.000, 0.000], [0.228, 0.500, 0.764], [0.465, 0.000, 0.509], [0.695, 0.500, 0.243]]}

Arrangement x

{"formula": "LiCrRe2", "functional": "PBE", "state": "relaxed", "crystal_system": "trigonal", "lattice_angstrom": [[1.359, 0.784, 8.950], [-1.359, 0.784, 8.950], [0.000, -1.569, 8.950]], "species": ["Li", "Cr", "Re", "Re"], "frac_coords": [[0.000, 0.000, 0.000], [0.500, 0.500, 0.500], [0.244, 0.244, 0.244], [0.756, 0.756, 0.756]]}

Arrangement y

{"formula": "LiCrRe2", "functional": "PBE", "state": "relaxed", "crystal_system": "tetragonal", "lattice_angstrom": [[3.786, 0.000, 0.000], [0.000, 3.786, 0.000], [0.000, 0.000, 3.700]], "species": ["Li", "Cr", "Re", "Re"], "frac_coords": [[0.000, 0.000, 0.000], [0.500, 0.500, 0.000], [0.000, 0.500, 0.500], [0.500, 0.000, 0.500]]}

Name the least stable of them. arrangement y.